# CePuZrTl (PBE, optimized geometry)
data_CePuZrTl
_symmetry_space_group_name_H-M 'P 1'
_symmetry_Int_Tables_number 1
_symmetry_space_group_name_Hall 'P 1'
_cell_length_a 5.351
_cell_length_b 5.351
_cell_length_c 5.351
_cell_angle_alpha 60.00
_cell_angle_beta 60.00
_cell_angle_gamma 60.00
loop_
_atom_site_label
_atom_site_type_symbol
_atom_site_fract_x
_atom_site_fract_y
_atom_site_fract_z
Ce1 Ce 0.000 0.000 0.000
Pu1 Pu 0.500 0.500 0.500
Zr1 Zr 0.250 0.250 0.250
Tl1 Tl 0.750 0.750 0.750
# * density: 10.4 g/cm3
# * SG: F-43m, No. 216
# * DFT formation energy: 73.6 kJ/mol of formula units

=====

# Be2RuRh (PBE, optimized geometry)
data_Be2RuRh
_symmetry_space_group_name_H-M 'P 1'
_symmetry_Int_Tables_number 1
_symmetry_space_group_name_Hall 'P 1'
_cell_length_a 3.974
_cell_length_b 3.974
_cell_length_c 2.747
_cell_angle_alpha 90.00
_cell_angle_beta 90.00
_cell_angle_gamma 90.00
loop_
_atom_site_label
_atom_site_type_symbol
_atom_site_fract_x
_atom_site_fract_y
_atom_site_fract_z
Be1 Be 0.000 0.500 0.000
Be2 Be 0.500 0.000 0.000
Ru1 Ru 0.000 0.000 0.500
Rh1 Rh 0.500 0.500 0.500
# * density: 8.5 g/cm3
# * SG: P4/mmm, No. 123
# * DFT formation energy: -147.7 kJ/mol of formula units

=====

# CaHg2Br (PBE, optimized geometry)
data_CaHg2Br
_symmetry_space_group_name_H-M 'P 1'
_symmetry_Int_Tables_number 1
_symmetry_space_group_name_Hall 'P 1'
_cell_length_a 5.506
_cell_length_b 5.506
_cell_length_c 6.328
_cell_angle_alpha 110.89
_cell_angle_beta 110.89
_cell_angle_gamma 42.71
loop_
_atom_site_label
_atom_site_type_symbol
_atom_site_fract_x
_atom_site_fract_y
_atom_site_fract_z
Ca1 Ca 0.000 0.000 0.000
Hg1 Hg 0.285 0.285 0.587
Hg2 Hg 0.527 0.527 0.422
Br1 Br 0.710 0.710 0.013
# * density: 7.2 g/cm3
# * SG: Cm, No. 8
# * ΔE to the lowest computed polymorph: 22 meV/atom
# * formation energy without anion corrections: -0.724 eV per atom

=====

# Hf3GeSb (PBE, optimized geometry)
data_Hf3GeSb
_symmetry_space_group_name_H-M 'P 1'
_symmetry_Int_Tables_number 1
_symmetry_space_group_name_Hall 'P 1'
_cell_length_a 9.430
_cell_length_b 5.434
_cell_length_c 10.357
_cell_angle_alpha 90.00
_cell_angle_beta 122.98
_cell_angle_gamma 90.00
loop_
_atom_site_label
_atom_site_type_symbol
_atom_site_fract_x
_atom_site_fract_y
_atom_site_fract_z
Hf1 Hf 0.001 0.003 0.294
Hf2 Hf 0.001 0.497 0.794
Hf3 Hf 0.376 0.249 0.939
Hf4 Hf 0.376 0.251 0.439
Hf5 Hf 0.390 0.739 0.195
Hf6 Hf 0.390 0.761 0.695
Hf7 Hf 0.610 0.239 0.305
Hf8 Hf 0.610 0.261 0.805
Hf9 Hf 0.624 0.749 0.561
Hf10 Hf 0.624 0.751 0.061
Hf11 Hf 0.999 0.503 0.206
Hf12 Hf 0.999 0.997 0.706
Ge1 Ge 0.286 0.750 0.394
Ge2 Ge 0.286 0.750 0.894
Ge3 Ge 0.714 0.250 0.106
Ge4 Ge 0.714 0.250 0.606
Sb1 Sb 0.205 0.244 0.104
Sb2 Sb 0.205 0.256 0.604
Sb3 Sb 0.795 0.744 0.396
Sb4 Sb 0.795 0.756 0.896
# * density: 10.9 g/cm3
# * SG: P2_1/c, No. 14
# * ΔE to the lowest computed polymorph: 0 meV/atom
# * formation energy without anion corrections: -0.386 eV per atom

=====

# CsCaI3 (PBE, optimized geometry)
data_CsCaI3
_symmetry_space_group_name_H-M 'P 1'
_symmetry_Int_Tables_number 1
_symmetry_space_group_name_Hall 'P 1'
_cell_length_a 8.423
_cell_length_b 8.436
_cell_length_c 9.810
_cell_angle_alpha 90.06
_cell_angle_beta 115.41
_cell_angle_gamma 119.92
loop_
_atom_site_label
_atom_site_type_symbol
_atom_site_fract_x
_atom_site_fract_y
_atom_site_fract_z
Cs1 Cs 0.220 0.360 0.082
Cs2 Cs 0.780 0.640 0.918
Ca1 Ca 0.171 0.835 0.507
Ca2 Ca 0.829 0.165 0.493
I1 I 0.048 0.980 0.721
I2 I 0.241 0.568 0.721
I3 I 0.348 0.828 0.279
I4 I 0.652 0.172 0.721
I5 I 0.759 0.432 0.279
I6 I 0.952 0.020 0.279
# * density: 3.5 g/cm3
# * SG: P-1, No. 2
# * formation energy without anion corrections: -1.586 eV per atom

=====

# Cs3Pb2I4Br3 (PBE, optimized geometry)
data_Cs3Pb2I4Br3
_symmetry_space_group_name_H-M 'P 1'
_symmetry_Int_Tables_number 1
_symmetry_space_group_name_Hall 'P 1'
_cell_length_a 16.273
_cell_length_b 16.273
_cell_length_c 16.273
_cell_angle_alpha 158.68
_cell_angle_beta 31.32
_cell_angle_gamma 157.33
loop_
_atom_site_label
_atom_site_type_symbol
_atom_site_fract_x
_atom_site_fract_y
_atom_site_fract_z
Cs1 Cs 0.000 0.000 0.000
Cs2 Cs 0.045 0.868 0.177
Cs3 Cs 0.690 0.868 0.823
Pb1 Pb 0.278 0.877 0.402
Pb2 Pb 0.475 0.877 0.598
I1 I 0.184 0.883 0.301
I2 I 0.583 0.883 0.699
I3 I 0.782 0.373 0.409
I4 I 0.965 0.373 0.591
Br1 Br 0.258 0.357 0.900
Br2 Br 0.359 0.859 0.500
Br3 Br 0.457 0.357 0.100
# * density: 4.3 g/cm3
# * SG: Imm2, No. 44
# * formation energy without anion corrections: -1.221 eV per atom

=====

# NiSb2Os (PBE, optimized geometry)
data_NiSb2Os
_symmetry_space_group_name_H-M 'P 1'
_symmetry_Int_Tables_number 1
_symmetry_space_group_name_Hall 'P 1'
_cell_length_a 4.412
_cell_length_b 4.412
_cell_length_c 5.465
_cell_angle_alpha 100.21
_cell_angle_beta 100.21
_cell_angle_gamma 43.75
loop_
_atom_site_label
_atom_site_type_symbol
_atom_site_fract_x
_atom_site_fract_y
_atom_site_fract_z
Ni1 Ni 0.000 0.000 0.000
Sb1 Sb 0.243 0.243 0.750
Sb2 Sb 0.757 0.757 0.250
Os1 Os 0.500 0.500 0.500
# * density: 11.3 g/cm3
# * SG: C2/m, No. 12
# * ΔE to the lowest computed polymorph: 190 meV/atom
# * formation energy without anion corrections: 0.376 eV per atom

=====

# V2CuPt8 (PBE, optimized geometry)
data_V2CuPt8
_symmetry_space_group_name_H-M 'P 1'
_symmetry_Int_Tables_number 1
_symmetry_space_group_name_Hall 'P 1'
_cell_length_a 7.019
_cell_length_b 7.019
_cell_length_c 7.019
_cell_angle_alpha 146.19
_cell_angle_beta 116.70
_cell_angle_gamma 73.72
loop_
_atom_site_label
_atom_site_type_symbol
_atom_site_fract_x
_atom_site_fract_y
_atom_site_fract_z
V1 V 0.197 0.197 0.000
V2 V 0.803 0.803 0.000
Cu1 Cu 0.500 0.500 0.000
Pt1 Pt 0.062 0.340 0.722
Pt2 Pt 0.185 0.000 0.185
Pt3 Pt 0.355 0.855 0.500
Pt4 Pt 0.382 0.660 0.722
Pt5 Pt 0.618 0.340 0.278
Pt6 Pt 0.645 0.145 0.500
Pt7 Pt 0.815 0.000 0.815
Pt8 Pt 0.938 0.660 0.278
# * density: 17.0 g/cm3
# * SG: Immm, No. 71
# * DFT formation energy: -353.7 kJ/mol of formula units

=====

# Hf4As3 (PBE, optimized geometry)
data_Hf4As3
_symmetry_space_group_name_H-M 'P 1'
_symmetry_Int_Tables_number 1
_symmetry_space_group_name_Hall 'P 1'
_cell_length_a 7.006
_cell_length_b 7.006
_cell_length_c 7.006
_cell_angle_alpha 109.47
_cell_angle_beta 109.47
_cell_angle_gamma 109.47
loop_
_atom_site_label
_atom_site_type_symbol
_atom_site_fract_x
_atom_site_fract_y
_atom_site_fract_z
Hf1 Hf 0.000 0.357 0.500
Hf2 Hf 0.000 0.857 0.500
Hf3 Hf 0.143 0.143 0.143
Hf4 Hf 0.357 0.500 0.000
Hf5 Hf 0.500 0.000 0.357
Hf6 Hf 0.500 0.000 0.857
Hf7 Hf 0.643 0.643 0.643
Hf8 Hf 0.857 0.500 0.000
As1 As 0.125 0.750 0.875
As2 As 0.250 0.625 0.375
As3 As 0.375 0.250 0.625
As4 As 0.625 0.375 0.250
As5 As 0.750 0.875 0.125
As6 As 0.875 0.125 0.750
# * density: 11.8 g/cm3
# * SG: I-43d, No. 220
# * DFT formation energy: -570.6 kJ/mol of formula units

=====

# Sm2HoZn2Ge2 (PBE, optimized geometry)
data_Sm2HoZn2Ge2
_symmetry_space_group_name_H-M 'P 1'
_symmetry_Int_Tables_number 1
_symmetry_space_group_name_Hall 'P 1'
_cell_length_a 11.477
_cell_length_b 11.477
_cell_length_c 11.477
_cell_angle_alpha 20.86
_cell_angle_beta 20.86
_cell_angle_gamma 20.86
loop_
_atom_site_label
_atom_site_type_symbol
_atom_site_fract_x
_atom_site_fract_y
_atom_site_fract_z
Sm1 Sm 0.122 0.122 0.122
Sm2 Sm 0.878 0.878 0.878
Ho1 Ho 0.000 0.000 0.000
Zn1 Zn 0.390 0.390 0.390
Zn2 Zn 0.610 0.610 0.610
Ge1 Ge 0.271 0.271 0.271
Ge2 Ge 0.729 0.729 0.729
# * density: 7.3 g/cm3
# * SG: R-3m, No. 166
# * DFT formation energy: -311.2 kJ/mol of formula units

=====

# HgN3F12 (PBE, optimized geometry)
data_HgN3F12
_symmetry_space_group_name_H-M 'P 1'
_symmetry_Int_Tables_number 1
_symmetry_space_group_name_Hall 'P 1'
_cell_length_a 11.991
_cell_length_b 11.991
_cell_length_c 11.991
_cell_angle_alpha 39.39
_cell_angle_beta 39.39
_cell_angle_gamma 39.39
loop_
_atom_site_label
_atom_site_type_symbol
_atom_site_fract_x
_atom_site_fract_y
_atom_site_fract_z
Hg1 Hg 0.000 0.000 0.000
Hg2 Hg 0.500 0.500 0.500
N1 N 0.112 0.460 0.693
N2 N 0.193 0.960 0.612
N3 N 0.460 0.693 0.112
N4 N 0.612 0.193 0.960
N5 N 0.693 0.112 0.460
N6 N 0.960 0.612 0.193
F1 F 0.071 0.479 0.129
F2 F 0.129 0.071 0.479
F3 F 0.187 0.782 0.723
F4 F 0.223 0.282 0.687
F5 F 0.282 0.687 0.223
F6 F 0.293 0.853 0.853
F7 F 0.353 0.353 0.793
F8 F 0.353 0.793 0.353
F9 F 0.394 0.907 0.497
F10 F 0.407 0.894 0.997
F11 F 0.479 0.129 0.071
F12 F 0.497 0.394 0.907
F13 F 0.571 0.629 0.979
F14 F 0.629 0.979 0.571
F15 F 0.687 0.223 0.282
F16 F 0.723 0.187 0.782
F17 F 0.782 0.723 0.187
F18 F 0.793 0.353 0.353
F19 F 0.853 0.293 0.853
F20 F 0.853 0.853 0.293
F21 F 0.894 0.997 0.407
F22 F 0.907 0.497 0.394
F23 F 0.979 0.571 0.629
F24 F 0.997 0.407 0.894
# * density: 2.5 g/cm3
# * SG: R3c, No. 161
# * formation energy without anion corrections: -0.534 eV per atom

=====

Q: What is the density in the eighth record?
A: 17.0 g/cm3